Record 1
Density functional theory data (GGA-PBE) for a relaxed structure of Sn2SbPd8.

a b c (Å): 4.174 7.516 7.447
angles (deg): 120.31 106.27 90.00
Element x y z (fractional)
Sn  0.181  0.681  0.362
Sn  0.819  0.319  0.638
Sb  0.500  0.000  0.000
Pd  0.662  0.897  0.324
Pd  0.338  0.573  0.676
Pd  0.149  0.149  0.298
Pd  0.000  0.297  0.000
Pd  0.851  0.851  0.702
Pd  0.662  0.427  0.324
Pd  0.338  0.103  0.676
Pd  0.000  0.703  0.000

Computed properties:
E	-58.59	eV for the cell shown
offset from the most stable computed form	0	meV/atom
crystal system	orthorhombic
formation energy from raw total energies	-4.92	eV per formula unit

Record 2
Density functional theory data (GGA-PBE) for a relaxed structure of Rb2ScOsO6.

a b c (Å): 5.397 6.338 6.338
angles (deg): 120.00 90.00 90.00
Element x y z (fractional)
Rb  0.175  0.333  0.667
Rb  0.825  0.667  0.333
Sc  0.500  0.000  0.000
Os  0.000  0.000  0.000
O  0.781  0.138  0.275
O  0.781  0.138  0.862
O  0.781  0.725  0.862
O  0.219  0.862  0.138
O  0.219  0.275  0.138
O  0.219  0.862  0.725

Computed properties:
E	-66.63	eV for the cell shown
crystal system	trigonal
formation energy from raw total energies	-17.38	eV per formula unit

Record 3
Density functional theory data (GGA-PBE) for a relaxed structure of B5C7.

a b c (Å): 5.817 5.715 3.587
angles (deg): 88.47 91.68 139.03
Element x y z (fractional)
B  0.232  0.870  0.539
B  0.871  0.672  0.245
B  0.440  0.476  0.533
B  0.351  0.685  0.971
B  0.936  0.462  0.731
C  0.139  0.319  0.230
C  0.829  0.154  0.477
C  0.522  0.016  0.251
C  0.634  0.312  0.017
C  0.331  0.169  0.775
C  0.008  0.007  0.002
C  0.707  0.858  0.729

Computed properties:
E	-93.87	eV for the cell shown
offset from the most stable computed form	82	meV/atom
energy of formation	0.34	eV per atom
crystal system	triclinic

Record 4
Density functional theory data (GGA-PBE) for a relaxed structure of Li2YPbF.

a b c (Å): 4.440 4.440 4.787
angles (deg): 90.00 90.00 90.00
Element x y z (fractional)
Pb  0.500  0.500  0.500
Y  0.000  0.000  0.500
Li  0.000  0.500  0.000
Li  0.500  0.000  0.000
F  0.000  0.000  0.000

Computed properties:
E	-22.60	eV for the cell shown
crystal system	tetragonal
formation energy from raw total energies	-6.73	eV per formula unit

- E of number 4 (Li2YPbF)?
  -22.60 eV for the cell shown

What did the second record say?
Density functional theory data (GGA-PBE) for a relaxed structure of Rb2ScOsO6.

a b c (Å): 5.397 6.338 6.338
angles (deg): 120.00 90.00 90.00
Element x y z (fractional)
Rb  0.175  0.333  0.667
Rb  0.825  0.667  0.333
Sc  0.500  0.000  0.000
Os  0.000  0.000  0.000
O  0.781  0.138  0.275
O  0.781  0.138  0.862
O  0.781  0.725  0.862
O  0.219  0.862  0.138
O  0.219  0.275  0.138
O  0.219  0.862  0.725

Computed properties:
E	-66.63	eV for the cell shown
crystal system	trigonal
formation energy from raw total energies	-17.38	eV per formula unit

- Which value of E does entry 2 give?
  -66.63 eV for the cell shown

- The highest E belongs to which entry?
  Li2YPbF